(1)
# Tb4SmIn (PBE, optimized geometry)
# * energy above the most stable polymorph in this dataset: 16.3 meV per atom
# * total magnetic moment: 0.0 μB/f.u.
# * energy: -4.4614 eV/atom
data_Tb4SmIn
_chemical_formula_sum 'Tb16 Sm4 In4'
_symmetry_space_group_name_H-M 'C m c 21'
_symmetry_Int_Tables_number 36
_cell_length_a 4.872
_cell_length_b 14.923
_cell_length_c 9.940
_cell_angle_alpha 90.00
_cell_angle_beta 90.00
_cell_angle_gamma 90.00
loop_
_symmetry_equiv_pos_as_xyz
'x,y,z'
'-x,-y,z+1/2'
'-x,y,z'
'x,-y,z+1/2'
'x+1/2,y+1/2,z'
'-x+1/2,-y+1/2,z+1/2'
'-x+1/2,y+1/2,z'
'x+1/2,-y+1/2,z+1/2'
loop_
_atom_site_label
_atom_site_type_symbol
_atom_site_fract_x
_atom_site_fract_y
_atom_site_fract_z
Tb1 Tb 0.000 0.001 0.000
Tb2 Tb 0.000 0.173 0.250
Tb3 Tb 0.000 0.333 0.504
Tb4 Tb 0.000 0.495 0.250
Sm1 Sm 0.000 0.332 0.995
In1 In 0.000 0.165 0.751

---

(2)
# TbSm3In4 (PBE, optimized geometry)
# * energy above the most stable polymorph in this dataset: 173.1 meV per atom
# * total magnetic moment: 0.1 μB/f.u.
# * energy: -4.0334 eV/atom
data_TbSm3In4
_chemical_formula_sum 'Tb2 Sm6 In8'
_symmetry_space_group_name_H-M 'I m m m'
_symmetry_Int_Tables_number 71
_symmetry_space_group_name_Hall '-I 2 2'
_cell_length_a 3.528
_cell_length_b 7.050
_cell_length_c 19.292
_cell_angle_alpha 90.00
_cell_angle_beta 90.00
_cell_angle_gamma 90.00
loop_
_atom_site_label
_atom_site_type_symbol
_atom_site_fract_x
_atom_site_fract_y
_atom_site_fract_z
Tb1 Tb 0.000 0.000 0.000
Sm1 Sm 0.000 0.000 0.500
Sm2 Sm 0.000 0.500 0.278
In1 In 0.000 0.284 0.126

---

(3)
# Tb3Sm2In4 (PBE, optimized geometry)
# * energy above the most stable polymorph in this dataset: 129.5 meV per atom
# * total magnetic moment: 0.0 μB/f.u.
# * energy: -4.0932 eV/atom
data_Tb3Sm2In4
_chemical_formula_sum 'Tb12 Sm8 In16'
_symmetry_space_group_name_H-M 'C m c e'
_symmetry_Int_Tables_number 64
_symmetry_space_group_name_Hall '-C 2ac 2'
_cell_length_a 7.111
_cell_length_b 16.446
_cell_length_c 9.225
_cell_angle_alpha 90.00
_cell_angle_beta 90.00
_cell_angle_gamma 90.00
loop_
_atom_site_label
_atom_site_type_symbol
_atom_site_fract_x
_atom_site_fract_y
_atom_site_fract_z
Tb1 Tb 0.000 0.000 0.000
Tb2 Tb 0.250 0.217 0.250
Sm1 Sm 0.000 0.109 0.573
In1 In 0.000 0.186 0.963
In2 In 0.250 0.030 0.250

---

(4)
# Tb5SmIn (PBE, optimized geometry)
# * total magnetic moment: 0.0 μB/f.u.
# * energy: -4.2843 eV/atom
data_Tb5SmIn
_chemical_formula_sum 'Tb10 Sm2 In2'
_symmetry_space_group_name_H-M 'I m m 2'
_symmetry_Int_Tables_number 44
_cell_length_a 6.302
_cell_length_b 6.505
_cell_length_c 10.926
_cell_angle_alpha 90.00
_cell_angle_beta 90.00
_cell_angle_gamma 90.00
loop_
_symmetry_equiv_pos_as_xyz
'x,y,z'
'-x,-y,z'
'-x,y,z'
'x,-y,z'
'x+1/2,y+1/2,z+1/2'
'-x+1/2,-y+1/2,z+1/2'
'-x+1/2,y+1/2,z+1/2'
'x+1/2,-y+1/2,z+1/2'
loop_
_atom_site_label
_atom_site_type_symbol
_atom_site_fract_x
_atom_site_fract_y
_atom_site_fract_z
Tb1 Tb 0.000 0.000 0.000
Tb2 Tb 0.000 0.268 0.252
Tb3 Tb 0.243 0.500 0.971
Sm1 Sm 0.000 0.500 0.625
In1 In 0.000 0.000 0.724

---

(5)
# Tb7Sm3In2 (PBE, optimized geometry)
# * total magnetic moment: 0.4 μB/f.u.
# * energy: -4.2391 eV/atom
data_Tb7Sm3In2
_chemical_formula_sum 'Tb21 Sm9 In6'
_symmetry_space_group_name_H-M 'R -3 m'
_symmetry_Int_Tables_number 166
_symmetry_space_group_name_Hall '-R 3 2"'
_cell_length_a 6.6005
_cell_length_b 6.6005
_cell_length_c 31.6484
_cell_angle_alpha 90.00
_cell_angle_beta 90.00
_cell_angle_gamma 120.00
loop_
_atom_site_label
_atom_site_type_symbol
_atom_site_fract_x
_atom_site_fract_y
_atom_site_fract_z
Tb1 Tb 0.0000 0.0000 0.0000
Tb2 Tb 0.0012 0.5006 0.4200
Sm1 Sm 0.0000 0.0000 0.3568
Sm2 Sm 0.0000 0.0000 0.5000
In1 In 0.0000 0.0000 0.1663

---

(6)
# TbSm2In (PBE, optimized geometry)
# * energy above the most stable polymorph in this dataset: 0.0 meV per atom
# * total magnetic moment: 0.5 μB/f.u.
# * energy: -4.4712 eV/atom
data_TbSm2In
_chemical_formula_sum 'Tb1 Sm2 In1'
_symmetry_space_group_name_H-M 'P 4/m m m'
_symmetry_Int_Tables_number 123
_symmetry_space_group_name_Hall '-P 4 2'
_cell_length_a 4.899
_cell_length_b 4.899
_cell_length_c 4.937
_cell_angle_alpha 90.00
_cell_angle_beta 90.00
_cell_angle_gamma 90.00
loop_
_atom_site_label
_atom_site_type_symbol
_atom_site_fract_x
_atom_site_fract_y
_atom_site_fract_z
Tb1 Tb 0.000 0.000 0.000
Sm1 Sm 0.000 0.500 0.500
In1 In 0.500 0.500 0.000

---

(7)
# Tb2Sm5In2 (PBE, optimized geometry)
# * total magnetic moment: 0.0 μB/f.u.
# * energy: -4.3166 eV/atom
data_Tb2Sm5In2
_chemical_formula_sum 'Tb8 Sm20 In8'
_symmetry_space_group_name_H-M 'I m a 2'
_symmetry_Int_Tables_number 46
_cell_length_a 16.118
_cell_length_b 10.626
_cell_length_c 6.607
_cell_angle_alpha 90.00
_cell_angle_beta 90.00
_cell_angle_gamma 90.00
loop_
_symmetry_equiv_pos_as_xyz
'x,y,z'
'-x,-y,z'
'-x+1/2,y,z'
'x+1/2,-y,z'
'x+1/2,y+1/2,z+1/2'
'-x+1/2,-y+1/2,z+1/2'
'-x,y+1/2,z+1/2'
'x,-y+1/2,z+1/2'
loop_
_atom_site_label
_atom_site_type_symbol
_atom_site_fract_x
_atom_site_fract_y
_atom_site_fract_z
Tb1 Tb 0.000 0.000 0.000
Tb2 Tb 0.250 0.017 0.812
Sm1 Sm 0.056 0.244 0.303
Sm2 Sm 0.151 0.694 0.661
Sm3 Sm 0.250 0.116 0.307
In1 In 0.087 0.528 0.042

---

(8)
# Tb2Sm2In7 (PBE, optimized geometry)
# * total magnetic moment: 0.0 μB/f.u.
# * energy: -3.4415 eV/atom
data_Tb2Sm2In7
_chemical_formula_sum 'Tb4 Sm4 In14'
_symmetry_space_group_name_H-M 'C m m m'
_symmetry_Int_Tables_number 65
_symmetry_space_group_name_Hall '-C 2 2'
_cell_length_a 8.654
_cell_length_b 10.839
_cell_length_c 7.400
_cell_angle_alpha 90.00
_cell_angle_beta 90.00
_cell_angle_gamma 90.00
loop_
_atom_site_label
_atom_site_type_symbol
_atom_site_fract_x
_atom_site_fract_y
_atom_site_fract_z
Tb1 Tb 0.000 0.201 0.000
Sm1 Sm 0.182 0.500 0.500
In1 In 0.000 0.000 0.300
In2 In 0.000 0.500 0.000
In3 In 0.250 0.250 0.295

---

Please write out number 7 again, unchanged.
# Tb2Sm5In2 (PBE, optimized geometry)
# * total magnetic moment: 0.0 μB/f.u.
# * energy: -4.3166 eV/atom
data_Tb2Sm5In2
_chemical_formula_sum 'Tb8 Sm20 In8'
_symmetry_space_group_name_H-M 'I m a 2'
_symmetry_Int_Tables_number 46
_cell_length_a 16.118
_cell_length_b 10.626
_cell_length_c 6.607
_cell_angle_alpha 90.00
_cell_angle_beta 90.00
_cell_angle_gamma 90.00
loop_
_symmetry_equiv_pos_as_xyz
'x,y,z'
'-x,-y,z'
'-x+1/2,y,z'
'x+1/2,-y,z'
'x+1/2,y+1/2,z+1/2'
'-x+1/2,-y+1/2,z+1/2'
'-x,y+1/2,z+1/2'
'x,-y+1/2,z+1/2'
loop_
_atom_site_label
_atom_site_type_symbol
_atom_site_fract_x
_atom_site_fract_y
_atom_site_fract_z
Tb1 Tb 0.000 0.000 0.000
Tb2 Tb 0.250 0.017 0.812
Sm1 Sm 0.056 0.244 0.303
Sm2 Sm 0.151 0.694 0.661
Sm3 Sm 0.250 0.116 0.307
In1 In 0.087 0.528 0.042

---

> Among the records above, which one has the lowest energy?

TbSm2In

---

> Which value of total magnetic moment does entry 1 give?

0.0 μB/f.u.